Record 1
{
  "formula": "LiZnCu2",
  "functional": "PBEsol",
  "state": "relaxed",
  "density_g_cm3": 6.631,
  "delta_e_f_ev_per_atom": -0.05,
  "dos_at_fermi_per_ev_cell": 1.1,
  "lattice": [[2.5975, 0.0000, 0.0000], [0.0000, 2.5975, 0.0000], [0.0000, 0.0000, 7.4022]],
  "species": ["Li", "Zn", "Cu", "Cu"],
  "frac_coords": [[0.0000, 0.0000, 0.0000], [0.5000, 0.5000, 0.7266], [0.0000, 0.0000, 0.4819], [0.5000, 0.5000, 0.2540]]
}

---

Record 2
{
  "formula": "Rb2SrTl2",
  "functional": "PBEsol",
  "state": "relaxed",
  "density_g_cm3": 4.843,
  "delta_e_f_ev_per_atom": 0.19,
  "dos_at_fermi_per_ev_cell": 9.2,
  "lattice": [[6.3285, 0.0000, 0.0000], [0.0000, 6.3285, 0.0000], [0.0000, 0.0000, 11.4259]],
  "species": ["Rb", "Rb", "Rb", "Rb", "Sr", "Sr", "Tl", "Tl", "Tl", "Tl"],
  "frac_coords": [[0.0000, 0.0000, 0.1388], [0.0000, 0.0000, 0.8612], [0.5000, 0.5000, 0.3612], [0.5000, 0.5000, 0.6388], [0.0000, 0.0000, 0.5000], [0.5000, 0.5000, 0.0000], [0.0000, 0.5000, 0.2500], [0.0000, 0.5000, 0.7500], [0.5000, 0.0000, 0.2500], [0.5000, 0.0000, 0.7500]]
}

---

Record 3
{
  "formula": "Co2SbSe",
  "functional": "PBEsol",
  "state": "relaxed",
  "density_g_cm3": 9.068,
  "formation_energy_uncorrected_ev_per_atom": 0.220,
  "dos_at_fermi_per_ev_cell": 5.7,
  "lattice": [[3.0501, 0.0000, 0.0000], [0.0000, 3.0493, 0.0000], [-0.0172, 0.0000, 6.2727]],
  "species": ["Co", "Co", "Sb", "Se"],
  "frac_coords": [[0.0007, 0.0000, 0.2140], [0.9993, 0.0000, 0.7860], [0.5000, 0.5000, 0.5000], [0.5000, 0.5000, 0.0000]]
}

---

Record 4
{
  "formula": "TaSe2Br",
  "functional": "PBEsol",
  "state": "relaxed",
  "density_g_cm3": 6.405,
  "formation_energy_uncorrected_ev_per_atom": -0.601,
  "dos_at_fermi_per_ev_cell": 0.1,
  "lattice": [[12.3401, 0.0000, 0.0000], [0.0000, 3.1469, 0.0000], [-3.4988, 0.0000, 5.5916]],
  "species": ["Ta", "Ta", "Se", "Se", "Se", "Se", "Br", "Br"],
  "frac_coords": [[0.0000, 0.0000, 0.0000], [0.5000, 0.5000, 0.0000], [0.0075, 0.5000, 0.7058], [0.3393, 0.0000, 0.0013], [0.5075, 0.0000, 0.7058], [0.8393, 0.5000, 0.0013], [0.1704, 0.5000, 0.3244], [0.6704, 0.0000, 0.3244]]
}